The following is a GGA-PBE calculation of crystalline Ca2BeTe at its relaxed geometry, from the Alexandria database.

abc: 3.8586 3.8662 7.9728
angles: 60.98 90.00 90.00
Positions (direct):
Te (0.5000, 0.2500, 0.2500)
Ca (0.0000, 0.0129, 0.9873)
Ca (0.0000, 0.4871, 0.5127)
Be (0.5000, 0.7500, 0.7500)

Summary:
Raw total energy (eV per atom): -3.14
Energy above the most stable polymorph in this dataset (meV/atom): 15.1
DOS at the Fermi energy (states/eV per cell): 1.1
Symmetry: P4/mmm